Entry from Alexandria via LeMat-Bulk: crystalline Li2LaLu at its relaxed geometry (PBE).

Summary:
* excess energy over the best structure of this formula in the dataset: 0 meV/atom
* total moment: 0.02 μB per formula unit
* final energy: -12.66 eV per cell
* formation enthalpy at 0 K: 0.1535 eV per atom

Structure (CIF):
```
data_Li2LaLu
_chemical_formula_sum 'Li2 La1 Lu1'
_space_group_name_H-M_alt 'P 4/m m m'
_space_group_IT_number 123
_space_group_name_Hall '-P 4 2'
_cell_length_a 3.726
_cell_length_b 3.726
_cell_length_c 7.622
_cell_angle_alpha 90.00
_cell_angle_beta 90.00
_cell_angle_gamma 90.00
loop_
_atom_site_label
_atom_site_type_symbol
_atom_site_fract_x
_atom_site_fract_y
_atom_site_fract_z
Li1 Li 0.000 0.000 0.236
La1 La 0.500 0.500 0.500
Lu1 Lu 0.500 0.500 0.000
```

=====

Entry from Alexandria via LeMat-Bulk: crystalline LiLaLuMn at its relaxed geometry (PBE).

Summary:
* total moment: 2.34 μB per formula unit
* final energy: -79.83 eV per cell
* formation enthalpy at 0 K: 0.1435 eV per atom

Structure (CIF):
```
data_LiLaLuMn
_chemical_formula_sum 'Li4 La4 Lu4 Mn4'
_space_group_name_H-M_alt 'F -4 3 m'
_space_group_IT_number 216
_space_group_name_Hall 'F -4 2 3'
_cell_length_a 7.227
_cell_length_b 7.227
_cell_length_c 7.227
_cell_angle_alpha 90.00
_cell_angle_beta 90.00
_cell_angle_gamma 90.00
loop_
_atom_site_label
_atom_site_type_symbol
_atom_site_fract_x
_atom_site_fract_y
_atom_site_fract_z
Li1 Li 0.000 0.000 0.000
La1 La 0.250 0.250 0.250
Lu1 Lu 0.250 0.250 0.750
Mn1 Mn 0.000 0.000 0.500
```

=====

Entry from Alexandria via LeMat-Bulk: crystalline LiLaLuOs at its relaxed geometry (PBE).

Summary:
* total moment: 0.00 μB per formula unit
* final energy: -92.92 eV per cell
* formation enthalpy at 0 K: -0.1594 eV per atom

Structure (CIF):
```
data_LiLaLuOs
_chemical_formula_sum 'Li4 La4 Lu4 Os4'
_space_group_name_H-M_alt 'F -4 3 m'
_space_group_IT_number 216
_space_group_name_Hall 'F -4 2 3'
_cell_length_a 7.028
_cell_length_b 7.028
_cell_length_c 7.028
_cell_angle_alpha 90.00
_cell_angle_beta 90.00
_cell_angle_gamma 90.00
loop_
_atom_site_label
_atom_site_type_symbol
_atom_site_fract_x
_atom_site_fract_y
_atom_site_fract_z
Li1 Li 0.000 0.000 0.000
La1 La 0.250 0.250 0.250
Lu1 Lu 0.250 0.250 0.750
Os1 Os 0.000 0.000 0.500
```

=====

Entry from Alexandria via LeMat-Bulk: crystalline LiLaLuPb at its relaxed geometry (PBE).

Summary:
* total moment: 0.00 μB per formula unit
* final energy: -64.47 eV per cell
* formation enthalpy at 0 K: -0.2616 eV per atom

Structure (CIF):
```
data_LiLaLuPb
_chemical_formula_sum 'Li4 La4 Lu4 Pb4'
_space_group_name_H-M_alt 'F -4 3 m'
_space_group_IT_number 216
_space_group_name_Hall 'F -4 2 3'
_cell_length_a 7.636
_cell_length_b 7.636
_cell_length_c 7.636
_cell_angle_alpha 90.00
_cell_angle_beta 90.00
_cell_angle_gamma 90.00
loop_
_atom_site_label
_atom_site_type_symbol
_atom_site_fract_x
_atom_site_fract_y
_atom_site_fract_z
Li1 Li 0.000 0.000 0.000
La1 La 0.250 0.250 0.250
Lu1 Lu 0.250 0.250 0.750
Pb1 Pb 0.000 0.000 0.500
```

=====

Entry from Alexandria via LeMat-Bulk: crystalline LiLaPmLu at its relaxed geometry (PBE).

Summary:
* total moment: 0.00 μB per formula unit
* final energy: -62.33 eV per cell
* formation enthalpy at 0 K: 0.1328 eV per atom

Structure (CIF):
```
data_LiLaPmLu
_chemical_formula_sum 'Li4 La4 Pm4 Lu4'
_space_group_name_H-M_alt 'F -4 3 m'
_space_group_IT_number 216
_space_group_name_Hall 'F -4 2 3'
_cell_length_a 7.891
_cell_length_b 7.891
_cell_length_c 7.891
_cell_angle_alpha 90.00
_cell_angle_beta 90.00
_cell_angle_gamma 90.00
loop_
_atom_site_label
_atom_site_type_symbol
_atom_site_fract_x
_atom_site_fract_y
_atom_site_fract_z
Li1 Li 0.000 0.000 0.000
La1 La 0.250 0.250 0.750
Pm1 Pm 0.250 0.250 0.250
Lu1 Lu 0.000 0.000 0.500
```

=====

Entry from Alexandria via LeMat-Bulk: crystalline LiLaLuSc at its relaxed geometry (PBE).

Summary:
* total moment: 0.01 μB per formula unit
* final energy: -68.18 eV per cell
* formation enthalpy at 0 K: 0.1620 eV per atom

Structure (CIF):
```
data_LiLaLuSc
_chemical_formula_sum 'Li4 La4 Lu4 Sc4'
_space_group_name_H-M_alt 'F -4 3 m'
_space_group_IT_number 216
_space_group_name_Hall 'F -4 2 3'
_cell_length_a 7.651
_cell_length_b 7.651
_cell_length_c 7.651
_cell_angle_alpha 90.00
_cell_angle_beta 90.00
_cell_angle_gamma 90.00
loop_
_atom_site_label
_atom_site_type_symbol
_atom_site_fract_x
_atom_site_fract_y
_atom_site_fract_z
Li1 Li 0.000 0.000 0.000
La1 La 0.250 0.250 0.750
Lu1 Lu 0.250 0.250 0.250
Sc1 Sc 0.000 0.000 0.500
```

=====

Entry from Alexandria via LeMat-Bulk: crystalline LiLaLuSn at its relaxed geometry (PBE).

Summary:
* total moment: 0.00 μB per formula unit
* final energy: -67.68 eV per cell
* formation enthalpy at 0 K: -0.3886 eV per atom

Structure (CIF):
```
data_LiLaLuSn
_chemical_formula_sum 'Li4 La4 Lu4 Sn4'
_space_group_name_H-M_alt 'F -4 3 m'
_space_group_IT_number 216
_space_group_name_Hall 'F -4 2 3'
_cell_length_a 7.517
_cell_length_b 7.517
_cell_length_c 7.517
_cell_angle_alpha 90.00
_cell_angle_beta 90.00
_cell_angle_gamma 90.00
loop_
_atom_site_label
_atom_site_type_symbol
_atom_site_fract_x
_atom_site_fract_y
_atom_site_fract_z
Li1 Li 0.000 0.000 0.000
La1 La 0.250 0.250 0.750
Lu1 Lu 0.250 0.250 0.250
Sn1 Sn 0.000 0.000 0.500
```

=====

Entry from Alexandria via LeMat-Bulk: crystalline LiLaLuTh at its relaxed geometry (PBE).

Summary:
* total moment: 0.00 μB per formula unit
* final energy: -72.09 eV per cell
* formation enthalpy at 0 K: 0.1898 eV per atom

Structure (CIF):
```
data_LiLaLuTh
_chemical_formula_sum 'Li4 La4 Lu4 Th4'
_space_group_name_H-M_alt 'F -4 3 m'
_space_group_IT_number 216
_space_group_name_Hall 'F -4 2 3'
_cell_length_a 7.808
_cell_length_b 7.808
_cell_length_c 7.808
_cell_angle_alpha 90.00
_cell_angle_beta 90.00
_cell_angle_gamma 90.00
loop_
_atom_site_label
_atom_site_type_symbol
_atom_site_fract_x
_atom_site_fract_y
_atom_site_fract_z
Li1 Li 0.000 0.000 0.000
La1 La 0.250 0.250 0.250
Lu1 Lu 0.000 0.000 0.500
Th1 Th 0.250 0.250 0.750
```

=====

Entry from Alexandria via LeMat-Bulk: crystalline LiLaLuTl at its relaxed geometry (PBE).

Summary:
* total moment: 0.00 μB per formula unit
* final energy: -57.75 eV per cell
* formation enthalpy at 0 K: -0.1769 eV per atom

Structure (CIF):
```
data_LiLaLuTl
_chemical_formula_sum 'Li4 La4 Lu4 Tl4'
_space_group_name_H-M_alt 'F -4 3 m'
_space_group_IT_number 216
_space_group_name_Hall 'F -4 2 3'
_cell_length_a 7.625
_cell_length_b 7.625
_cell_length_c 7.625
_cell_angle_alpha 90.00
_cell_angle_beta 90.00
_cell_angle_gamma 90.00
loop_
_atom_site_label
_atom_site_type_symbol
_atom_site_fract_x
_atom_site_fract_y
_atom_site_fract_z
Li1 Li 0.000 0.000 0.000
La1 La 0.250 0.250 0.750
Lu1 Lu 0.250 0.250 0.250
Tl1 Tl 0.000 0.000 0.500
```

=====

Entry from Alexandria via LeMat-Bulk: crystalline LiLaYLu at its relaxed geometry (PBE).

Summary:
* total moment: 0.00 μB per formula unit
* final energy: -68.97 eV per cell
* formation enthalpy at 0 K: 0.1462 eV per atom

Structure (CIF):
```
data_LiLaYLu
_chemical_formula_sum 'Li4 La4 Y4 Lu4'
_space_group_name_H-M_alt 'F -4 3 m'
_space_group_IT_number 216
_space_group_name_Hall 'F -4 2 3'
_cell_length_a 7.848
_cell_length_b 7.848
_cell_length_c 7.848
_cell_angle_alpha 90.00
_cell_angle_beta 90.00
_cell_angle_gamma 90.00
loop_
_atom_site_label
_atom_site_type_symbol
_atom_site_fract_x
_atom_site_fract_y
_atom_site_fract_z
Li1 Li 0.000 0.000 0.000
La1 La 0.250 0.250 0.250
Y1 Y 0.250 0.250 0.750
Lu1 Lu 0.000 0.000 0.500
```